[1]
The following is a SCAN calculation of a PBEsol-optimized structure of La3Ir, from Alexandria.

Calculated values
Electronic total energy ... -50.242 eV per atom
ρ ... 9.86 g/cm3
Crystal system ... tetragonal
DFT formation energy ... -0.14 eV/atom
SG ... No. 123

Unit cell a=4.264 b=4.904 c=4.904 alpha=90.00 beta=90.00 gamma=90.00
Fractional positions:
Ir: 0.000 0.000 0.000
La: 0.500 0.000 0.500
La: 0.500 0.500 0.000
La: 0.000 0.500 0.500



[2]
The following is a SCAN calculation of a PBEsol-optimized structure of Ta4ReOs, from Alexandria.

Calculated values
Electronic total energy ... -67.741 eV per atom
ρ ... 18.08 g/cm3
Crystal system ... cubic
DFT formation energy ... 0.48 eV/atom
SG ... No. 216

Unit cell a=5.229 b=5.229 c=5.229 alpha=60.00 beta=60.00 gamma=60.00
Fractional positions:
Os: 0.750 0.750 0.750
Re: 0.000 0.000 0.000
Ta: 0.876 0.375 0.375
Ta: 0.375 0.375 0.375
Ta: 0.375 0.375 0.876
Ta: 0.375 0.876 0.375



[3]
The following is a SCAN calculation of a PBEsol-optimized structure of Y2BeCo, from Alexandria.

Calculated values
Electronic total energy ... -19.278 eV per atom
ρ ... 4.97 g/cm3
Crystal system ... orthorhombic
DFT formation energy ... 0.06 eV/atom
SG ... No. 44

Unit cell a=3.604 b=3.884 c=6.441 alpha=107.55 beta=106.25 gamma=90.00
Fractional positions:
Y: 0.000 0.000 0.999
Y: 0.753 0.253 0.506
Be: 0.577 0.577 0.153
Co: 0.171 0.671 0.341



[4]
The following is a SCAN calculation of a PBEsol-optimized structure of ZnSb2, from Alexandria.

Calculated values
Electronic total energy ... -29.026 eV per atom
ρ ... 7.06 g/cm3
Crystal system ... hexagonal
E_form (uncorrected) ... 0.32 eV per atom
SG ... No. 191

Unit cell a=3.009 b=5.281 c=5.281 alpha=120.00 beta=90.00 gamma=90.00
Fractional positions:
Sb: 0.000 0.333 0.667
Sb: 0.000 0.667 0.333
Zn: 0.500 0.000 0.000



Copy entry 2 word for word.
The following is a SCAN calculation of a PBEsol-optimized structure of Ta4ReOs, from Alexandria.

Calculated values
Electronic total energy ... -67.741 eV per atom
ρ ... 18.08 g/cm3
Crystal system ... cubic
DFT formation energy ... 0.48 eV/atom
SG ... No. 216

Unit cell a=5.229 b=5.229 c=5.229 alpha=60.00 beta=60.00 gamma=60.00
Fractional positions:
Os: 0.750 0.750 0.750
Re: 0.000 0.000 0.000
Ta: 0.876 0.375 0.375
Ta: 0.375 0.375 0.375
Ta: 0.375 0.375 0.876
Ta: 0.375 0.876 0.375



- Which of these has the highest electronic total energy?
  Y2BeCo



Please write out number 3 again, unchanged.
The following is a SCAN calculation of a PBEsol-optimized structure of Y2BeCo, from Alexandria.

Calculated values
Electronic total energy ... -19.278 eV per atom
ρ ... 4.97 g/cm3
Crystal system ... orthorhombic
DFT formation energy ... 0.06 eV/atom
SG ... No. 44

Unit cell a=3.604 b=3.884 c=6.441 alpha=107.55 beta=106.25 gamma=90.00
Fractional positions:
Y: 0.000 0.000 0.999
Y: 0.753 0.253 0.506
Be: 0.577 0.577 0.153
Co: 0.171 0.671 0.341